A relaxed EuInSb2 crystal, computed with PBE.

a b c (Å): 4.7409 4.8533 4.8533
angles (deg): 90.00 90.00 90.00
Last column: nearest neighbours and their distance in Å.
Atoms (fractional coordinates):
Sb: 0.0000 0.5000 0.0000  4 In 3.39, 4 Eu 3.39, 4 Sb 3.43
Eu: 0.5000 0.5000 0.5000  8 Sb 3.39, 4 In 3.43
In: 0.5000 0.0000 0.0000  8 Sb 3.39, 4 Eu 3.43
Sb: 0.0000 0.0000 0.5000  4 In 3.39, 4 Eu 3.39, 4 Sb 3.43

Output
The value obtained for the calculated total energy is -5.823 eV per atom. The crystal system is tetragonal. The uncorrected formation energy is -2.03 eV per formula unit. As for the energy above the most stable polymorph in this dataset: 0 meV per atom.